VASP calculation (PBE-GGA) on a geometry-optimized LiMn2Cl structure.

Its total magnetic moment is 1.62 μB per cell. Its crystal system is orthorhombic. Its uncorrected formation energy is -0.20 eV per atom. The value obtained for the energy above the most stable polymorph in this dataset is 0.00 eV per formula unit.

The structure belongs to space group Amm2 (No. 38); the cell edges are 3.2009, 3.2424 and 14.0624 Å and the angles 90.00°, 90.00° and 90.00°. Symmetry generates all atoms from Li at (0.0000, 0.0000, 0.0000), Mn at (0.0000, 0.0000, 0.7867), Mn at (0.5000, 0.0000, 0.3613) and Cl at (0.5000, 0.0000, 0.5381).

VASP calculation (PBE-GGA) on a geometry-optimized Ir2OsRu2Rh2 structure.

Its total magnetic moment is 0.00 μB per cell. Its crystal system is monoclinic. Its calculated formation energy is 0.009 eV per atom.

The structure belongs to space group C2/m (No. 12); the cell edges are 8.6110, 3.8437 and 6.0732 Å and the angles 90.00°, 97.99° and 90.00°. Symmetry generates all atoms from Ir at (0.2137, 0.0000, 0.1387), Os at (0.0000, 0.5000, 0.0000), Ru at (0.0678, 0.0000, 0.7151) and Rh at (0.1418, 0.5000, 0.4244).

VASP calculation (PBE-GGA) on a geometry-optimized Ca2BeCu structure.

Its total magnetic moment is 0.00 μB per cell. Its crystal system is cubic. Its calculated formation energy is 0.351 eV per atom.

The structure belongs to space group F-43m (No. 216); the cell edges are 6.8160, 6.8160 and 6.8160 Å and the angles 90.00°, 90.00° and 90.00°. Symmetry generates all atoms from Ca at (0.0000, 0.0000, 0.0000), Ca at (0.2500, 0.2500, 0.2500), Be at (0.0000, 0.0000, 0.5000) and Cu at (0.2500, 0.2500, 0.7500).

VASP calculation (PBE-GGA) on a geometry-optimized PmCuGe3 structure.

Its total magnetic moment is 0.00 μB per cell. Its crystal system is orthorhombic. Its calculated formation energy is -0.424 eV per atom. The value obtained for the energy above the most stable polymorph in this dataset is 0.00 eV per formula unit.

The structure belongs to space group Cmmm (No. 65); the cell edges are 4.2762, 21.7285 and 4.2343 Å and the angles 90.00°, 90.00° and 90.00°. Symmetry generates all atoms from Pm at (0.0000, 0.1680, 0.0000), Cu at (0.0000, 0.3882, 0.5000), Ge at (0.0000, 0.0573, 0.5000), Ge at (0.0000, 0.2798, 0.5000) and Ge at (0.0000, 0.4432, 0.0000).

VASP calculation (PBE-GGA) on a geometry-optimized LiLaW4 structure.

Its total magnetic moment is 0.00 μB per cell. Its crystal system is cubic. Its calculated formation energy is 0.630 eV per atom.

The structure belongs to space group F-43m (No. 216); the cell edges are 7.7915, 7.7915 and 7.7915 Å and the angles 90.00°, 90.00° and 90.00°. Symmetry generates all atoms from Li at (0.0000, 0.0000, 0.0000), La at (0.2500, 0.2500, 0.2500) and W at (0.1251, 0.1251, 0.6251).

VASP calculation (PBE-GGA) on a geometry-optimized Li2ZnAg5 structure.

Its total magnetic moment is 0.00 μB per cell. Its crystal system is orthorhombic. Its calculated formation energy is -0.149 eV per atom. The value obtained for the energy above the most stable polymorph in this dataset is 0.00 eV per formula unit.

The structure belongs to space group Pbam (No. 55); the cell edges are 5.7525, 11.5187 and 3.9986 Å and the angles 90.00°, 90.00° and 90.00°. Symmetry generates all atoms from Li at (0.2198, 0.1298, 0.0000), Zn at (0.0000, 0.5000, 0.5000), Ag at (0.0000, 0.0000, 0.5000), Ag at (0.0346, 0.7450, 0.5000) and Ag at (0.2208, 0.3844, 0.0000).

VASP calculation (PBE-GGA) on a geometry-optimized LiTb2NdCd4 structure.

Its total magnetic moment is 0.00 μB per cell. Its crystal system is trigonal. Its calculated formation energy is -0.268 eV per atom.

The structure belongs to space group R-3m (No. 166, hexagonal axes); the cell edges are 5.2298, 5.2298 and 26.0509 Å and the angles 90.00°, 90.00° and 120.00°. Symmetry generates all atoms from Li at (0.0000, 0.0000, 0.0000), Tb at (0.0000, 0.0000, 0.2530), Nd at (0.0000, 0.0000, 0.5000), Cd at (0.0000, 0.0000, 0.1168) and Cd at (0.0000, 0.0000, 0.3728).

VASP calculation (PBE-GGA) on a geometry-optimized Tb4PrIr4 structure.

Its total magnetic moment is 0.00 μB per cell. Its crystal system is tetragonal. Its calculated formation energy is -0.611 eV per atom.

The structure belongs to space group P4_2/n (No. 86, origin choice 2); the cell edges are 9.0128, 9.0128 and 5.6744 Å and the angles 90.00°, 90.00° and 90.00°. Symmetry generates all atoms from Tb at (0.0821, 0.6561, 0.1437), Pr at (0.2500, 0.2500, 0.2500) and Ir at (0.0353, 0.6150, 0.6438).

What density of states at the Fermi level values result from the calculations? In sequence: 0.656 0.988 1.040 0.267 1.159 0.236 0.983 0.567 states/eV per atom.